Record 1
DFT (PBE) results for a geometry-optimized GaAgAs2Br structure.

a = 4.9592 Å, b = 4.9592 Å, c = 6.0223 Å
α = 90.00°, β = 90.00°, γ = 90.00°
Atoms (fractional coordinates):
Ga (0.0000, 0.0000, 0.0000)
Ag (0.5000, 0.5000, 0.5000)
As (0.0000, 0.5000, 0.5000)
As (0.5000, 0.0000, 0.5000)
Br (0.5000, 0.5000, 0.0000)

## Properties
**Formation energy (no corrections)**: 581 meV per atom
**Symmetry**: P4/mmm (123)
**Polymorph energy (0 for the lowest one)**: 0.0054 eV/atom
**Magnetization**: 0.343 μB per atom

=====

Record 2
DFT (PBE) results for a geometry-optimized GaAgAs2Br structure.

a = 4.9205 Å, b = 4.9205 Å, c = 5.4336 Å
α = 90.00°, β = 90.00°, γ = 90.00°
Atoms (fractional coordinates):
Ga (0.0000, 0.0000, 0.0000)
Ag (0.5000, 0.5000, 0.5000)
As (0.0000, 0.5000, 0.0000)
As (0.5000, 0.0000, 0.0000)
Br (0.0000, 0.0000, 0.5000)

## Properties
**Formation energy (no corrections)**: 575 meV per atom
**Symmetry**: P4/mmm (123)
**Polymorph energy (0 for the lowest one)**: 0.0000 eV/atom
**Magnetization**: 0.191 μB per atom

=====

Record 3
DFT (PBE) results for a geometry-optimized AgGeAsBr2 structure.

a = 5.3032 Å, b = 5.3032 Å, c = 5.2424 Å
α = 90.00°, β = 90.00°, γ = 90.00°
Atoms (fractional coordinates):
Ag (0.0000, 0.0000, 0.0000)
Ge (0.5000, 0.5000, 0.5000)
As (0.5000, 0.5000, 0.0000)
Br (0.0000, 0.5000, 0.5000)
Br (0.5000, 0.0000, 0.5000)

## Properties
**Formation energy (no corrections)**: 344 meV per atom
**Symmetry**: P4/mmm (123)
**Polymorph energy (0 for the lowest one)**: 0.0000 eV/atom
**Magnetization**: 0.300 μB per atom

=====

Record 4
DFT (PBE) results for a geometry-optimized AgGeAsBr2 structure.

a = 5.2020 Å, b = 5.2020 Å, c = 5.1989 Å
α = 90.00°, β = 90.00°, γ = 90.00°
Atoms (fractional coordinates):
Ag (0.0000, 0.0000, 0.0000)
Ge (0.5000, 0.5000, 0.5000)
As (0.0000, 0.0000, 0.5000)
Br (0.0000, 0.5000, 0.0000)
Br (0.5000, 0.0000, 0.0000)

## Properties
**Formation energy (no corrections)**: 537 meV per atom
**Symmetry**: P4/mmm (123)
**Polymorph energy (0 for the lowest one)**: 0.1936 eV/atom
**Magnetization**: 0.000 μB per atom

=====

Record 5
DFT (PBE) results for a geometry-optimized AgAsHBr2 structure.

a = 5.4540 Å, b = 5.4540 Å, c = 5.0190 Å
α = 90.00°, β = 90.00°, γ = 90.00°
Atoms (fractional coordinates):
Ag (0.0000, 0.0000, 0.0000)
As (0.0000, 0.0000, 0.5000)
H (0.5000, 0.5000, 0.5000)
Br (0.0000, 0.5000, 0.0000)
Br (0.5000, 0.0000, 0.0000)

## Properties
**Symmetry**: P4/mmm (123)
**Polymorph energy (0 for the lowest one)**: 0.4495 eV/atom
**Magnetization**: 0.429 μB per atom

=====

Record 6
DFT (PBE) results for a geometry-optimized AgAsHBr2 structure.

a = 5.3320 Å, b = 5.3320 Å, c = 3.4974 Å
α = 90.00°, β = 90.00°, γ = 90.00°
Atoms (fractional coordinates):
Ag (0.0000, 0.0000, 0.0000)
As (0.5000, 0.5000, 0.0000)
H (0.5000, 0.5000, 0.5000)
Br (0.0000, 0.5000, 0.5000)
Br (0.5000, 0.0000, 0.5000)

## Properties
**Symmetry**: P4/mmm (123)
**Polymorph energy (0 for the lowest one)**: 0.0000 eV/atom
**Magnetization**: 0.000 μB per atom